Record 1
Material: Li4H6Os
Method: DFT, GGA-PBE
State: relaxed

Cell lengths 4.7849, 4.7875, 9.7704 Å; angles 75.99, 75.83, 60.02 degrees
Last column: nearest neighbours and their distance in Å.
Atoms (fractional coordinates):
Li 0.4912 0.8346 0.6801  6 H 1.91-2.09
Li 0.9941 0.3346 0.1801  6 H 1.91-2.09
Li 0.9024 0.2440 0.4511  6 H 1.95-2.15
Li 0.4025 0.7440 0.9511  6 H 1.95-2.15
Li 0.1749 0.5176 0.6296  6 H 1.91-2.09
Li 0.6778 0.0176 0.1296  6 H 1.91-2.09
Li 0.7658 0.1079 0.8587  6 H 1.95-2.15
Li 0.2675 0.6079 0.3587  6 H 1.95-2.15
H 0.7822 0.3481 0.0145  1 Os 1.72, 1 Li 1.92
H 0.8552 0.8481 0.5145  1 Os 1.72, 1 Li 1.92
H 0.5044 0.6251 0.5134  1 Os 1.72, 1 Li 1.92
H 0.3570 0.1251 0.0134  1 Os 1.72, 1 Li 1.92
H 0.2819 0.1984 0.5137  1 Os 1.72, 1 Li 1.91
H 0.0060 0.6984 0.0137  1 Os 1.72, 1 Li 1.91
H 0.1623 0.1535 0.7962  1 Os 1.72, 1 Li 1.91
H 0.8880 0.6535 0.2962  1 Os 1.72, 1 Li 1.91
H 0.6655 0.2267 0.2965  1 Os 1.72, 1 Li 1.92
H 0.8112 0.7267 0.7965  1 Os 1.72, 1 Li 1.92
H 0.3860 0.5041 0.7954  1 Os 1.72, 1 Li 1.92
H 0.3145 0.0041 0.2954  1 Os 1.72, 1 Li 1.92
Os 0.5849 0.9259 0.4049  6 H 1.72
Os 0.0842 0.4259 0.9049  6 H 1.72

D(E_F) = 0.00 states/eV per atom
Polymorph energy (0 for the lowest one) = 0.023 eV/atom


Record 2
Material: Li3HOs
Method: DFT, GGA-PBE
State: relaxed

Cell lengths 4.9502, 4.9502, 4.9502 Å; angles 90.00, 90.00, 90.00 degrees
Last column: nearest neighbours and their distance in Å.
Atoms (fractional coordinates):
H 0.5000 0.5000 0.5000  12 Li 3.50
Os 0.0000 0.0000 0.0000  6 Li 2.48
Li 0.0000 0.5000 0.0000  2 Os 2.48
Li 0.0000 0.0000 0.5000  2 Os 2.48
Li 0.5000 0.0000 0.0000  2 Os 2.48

D(E_F) = 0.97 states/eV per atom
Polymorph energy (0 for the lowest one) = 0.817 eV/atom


Record 3
Material: Li2H5Os
Method: DFT, GGA-PBE
State: relaxed

Cell lengths 3.0948, 4.2035, 5.0928 Å; angles 114.35, 107.69, 90.00 degrees
Last column: nearest neighbours and their distance in Å.
Atoms (fractional coordinates):
Li 0.7620 0.1808 0.5797  3 H 1.76-1.88
Li 0.1826 0.6008 0.4202  3 H 1.76-1.88
H 0.4712 0.1352 0.9987  2 Os 1.85, 1 H 1.91
H 0.1665 0.0958 0.3888  1 Os 1.70, 2 Li 1.76
H 0.7778 0.7056 0.6109  1 Os 1.70, 2 Li 1.76
H 0.9717 0.4827 0.9996  1 Os 1.73, 2 H 1.76, 2 Li 1.88
H 0.4732 0.6821 0.0024  3 H 1.76-1.91, 2 Os 1.79
Os 0.9721 0.8941 0.9999  7 H 1.70-1.85

Calculated total energy = -4.16 eV per atom
D(E_F) = 0.04 states/eV per atom